# 1
! CsKAuSe2 (PBE-GGA, relaxed); values from VASP
&SYSTEM
  ibrav = 0, nat = 10, ntyp = 4
/
ATOMIC_SPECIES
Cs 132.91 Cs.upf
K 39.10 K.upf
Au 196.97 Au.upf
Se 78.96 Se.upf
CELL_PARAMETERS angstrom
4.318 -8.164 0.000
4.318 8.164 0.000
0.000 0.000 5.921
ATOMIC_POSITIONS crystal
Cs 0.250 0.750 0.759
Cs 0.750 0.250 0.241
K 0.250 0.250 0.000
K 0.750 0.750 0.000
Au 0.000 0.000 0.500
Au 0.500 0.500 0.500
Se 0.121 0.879 0.267
Se 0.379 0.621 0.267
Se 0.621 0.379 0.733
Se 0.879 0.121 0.733
! * N(E_F): 1.13 states/eV per atom
! * space-group type: Cmme
! * ΔE_f (raw): -699 meV per atom



# 2
! KLaTbBiO6 (PBE-GGA, relaxed); values from VASP
&SYSTEM
  ibrav = 0, nat = 10, ntyp = 5
/
ATOMIC_SPECIES
K 39.10 K.upf
La 138.91 La.upf
Tb 158.93 Tb.upf
Bi 208.98 Bi.upf
O 16.00 O.upf
CELL_PARAMETERS angstrom
0.000 4.297 4.297
4.297 0.000 4.297
4.297 4.297 0.000
ATOMIC_POSITIONS crystal
K 0.000 0.000 0.000
La 0.500 0.500 0.500
Tb 0.250 0.250 0.250
Bi 0.750 0.750 0.750
O 0.506 0.506 0.994
O 0.506 0.994 0.506
O 0.506 0.994 0.994
O 0.994 0.506 0.506
O 0.994 0.506 0.994
O 0.994 0.994 0.506
! * N(E_F): 0.00 states/eV per atom
! * space-group type: F-43m
! * ΔE_f (raw): -2156 meV per atom



# 3
! KI2F8 (PBE-GGA, relaxed); values from VASP
&SYSTEM
  ibrav = 0, nat = 11, ntyp = 3
/
ATOMIC_SPECIES
K 39.10 K.upf
I 126.90 I.upf
F 19.00 F.upf
CELL_PARAMETERS angstrom
5.791 0.000 0.000
-2.895 5.015 0.000
0.000 0.000 7.065
ATOMIC_POSITIONS crystal
K 0.000 0.000 0.000
I 0.333 0.667 0.465
I 0.667 0.333 0.535
F 0.180 0.361 0.278
F 0.180 0.820 0.278
F 0.333 0.667 0.751
F 0.361 0.180 0.722
F 0.639 0.820 0.278
F 0.667 0.333 0.249
F 0.820 0.180 0.722
F 0.820 0.639 0.722
! * N(E_F): 0.23 states/eV per atom
! * space-group type: P-3m1
! * ΔE_f (raw): -1425 meV per atom



# 4
! HoSc8 (PBE-GGA, relaxed); values from VASP
&SYSTEM
  ibrav = 0, nat = 9, ntyp = 2
/
ATOMIC_SPECIES
Ho 164.93 Ho.upf
Sc 44.96 Sc.upf
CELL_PARAMETERS angstrom
-4.935 4.935 2.323
4.935 -4.935 2.323
4.935 4.935 -2.323
ATOMIC_POSITIONS crystal
Ho 0.000 0.000 0.000
Sc 0.000 0.336 0.336
Sc 0.000 0.664 0.664
Sc 0.331 0.331 0.662
Sc 0.331 0.669 0.000
Sc 0.336 0.000 0.336
Sc 0.664 0.000 0.664
Sc 0.669 0.331 0.000
Sc 0.669 0.669 0.338
! * N(E_F): 1.74 states/eV per atom
! * ΔH_f (0 K): 51 meV per atom
! * space-group type: I4/mmm



# 5
! BaSr2AcTl4 (PBE-GGA, relaxed); values from VASP
&SYSTEM
  ibrav = 0, nat = 8, ntyp = 4
/
ATOMIC_SPECIES
Ba 137.33 Ba.upf
Sr 87.62 Sr.upf
Ac 227.00 Ac.upf
Tl 204.38 Tl.upf
CELL_PARAMETERS angstrom
2.948 1.702 9.603
-2.948 1.702 9.603
0.000 -3.404 9.603
ATOMIC_POSITIONS crystal
Ba 0.000 0.000 0.000
Sr 0.251 0.251 0.251
Sr 0.749 0.749 0.749
Ac 0.500 0.500 0.500
Tl 0.127 0.127 0.127
Tl 0.378 0.378 0.378
Tl 0.622 0.622 0.622
Tl 0.873 0.873 0.873
! * N(E_F): 0.74 states/eV per atom
! * ΔH_f (0 K): -407 meV per atom
! * space-group type: R-3m



# 6
! CaZn2W (PBE-GGA, relaxed); values from VASP
&SYSTEM
  ibrav = 0, nat = 4, ntyp = 3
/
ATOMIC_SPECIES
Ca 40.08 Ca.upf
Zn 65.41 Zn.upf
W 183.84 W.upf
CELL_PARAMETERS angstrom
1.983 -2.007 0.000
1.983 2.007 0.000
0.000 0.000 8.999
ATOMIC_POSITIONS crystal
Ca 0.000 0.000 0.000
Zn 0.000 0.000 0.494
Zn 0.500 0.500 0.274
W 0.500 0.500 0.715
! * N(E_F): 0.80 states/eV per atom
! * ΔH_f (0 K): 356 meV per atom
! * space-group type: Cmm2
! * polymorph energy (0 for the lowest one): 95 meV/atom



# 7
! ErFeSi2Os (PBE-GGA, relaxed); values from VASP
&SYSTEM
  ibrav = 0, nat = 5, ntyp = 4
/
ATOMIC_SPECIES
Er 167.26 Er.upf
Fe 55.84 Fe.upf
Si 28.09 Si.upf
Os 190.23 Os.upf
CELL_PARAMETERS angstrom
-2.009 2.009 4.895
2.009 -2.009 4.895
2.009 2.009 -4.895
ATOMIC_POSITIONS crystal
Er 0.000 0.000 0.000
Fe 0.250 0.750 0.500
Si 0.374 0.374 0.000
Si 0.626 0.626 0.000
Os 0.750 0.250 0.500
! * N(E_F): 0.87 states/eV per atom
! * space-group type: I-4m2
! * ΔE_f (raw): -689 meV per atom



# 8
! LiErMgF6 (PBE-GGA, relaxed); values from VASP
&SYSTEM
  ibrav = 0, nat = 18, ntyp = 4
/
ATOMIC_SPECIES
Li 6.94 Li.upf
Er 167.26 Er.upf
Mg 24.30 Mg.upf
F 19.00 F.upf
CELL_PARAMETERS angstrom
5.490 0.000 0.000
-2.745 4.755 0.000
0.000 0.000 8.876
ATOMIC_POSITIONS crystal
Li 0.000 0.000 0.000
Li 0.000 0.000 0.500
Er 0.333 0.667 0.250
Er 0.667 0.333 0.750
Mg 0.333 0.667 0.750
Mg 0.667 0.333 0.250
F 0.022 0.353 0.630
F 0.022 0.668 0.870
F 0.332 0.353 0.870
F 0.332 0.978 0.630
F 0.353 0.022 0.130
F 0.353 0.332 0.370
F 0.647 0.668 0.630
F 0.647 0.978 0.870
F 0.668 0.022 0.370
F 0.668 0.647 0.130
F 0.978 0.332 0.130
F 0.978 0.647 0.370
! * N(E_F): 0.00 states/eV per atom
! * space-group type: P-31c
! * ΔE_f (raw): -3586 meV per atom



Please write out number 7 again, unchanged.
! ErFeSi2Os (PBE-GGA, relaxed); values from VASP
&SYSTEM
  ibrav = 0, nat = 5, ntyp = 4
/
ATOMIC_SPECIES
Er 167.26 Er.upf
Fe 55.84 Fe.upf
Si 28.09 Si.upf
Os 190.23 Os.upf
CELL_PARAMETERS angstrom
-2.009 2.009 4.895
2.009 -2.009 4.895
2.009 2.009 -4.895
ATOMIC_POSITIONS crystal
Er 0.000 0.000 0.000
Fe 0.250 0.750 0.500
Si 0.374 0.374 0.000
Si 0.626 0.626 0.000
Os 0.750 0.250 0.500
! * N(E_F): 0.87 states/eV per atom
! * space-group type: I-4m2
! * ΔE_f (raw): -689 meV per atom



Which value of N(E_F) does entry 4 give?
1.74 states/eV per atom